Below is a relaxed Th2BiAu2 crystal, with properties calculated at the PBE level.

Calculated values
DOS at the Fermi energy, states/eV/atom: 0.7139
ρ, Mg/m³: 13.21
M_tot, μB per atom: 0.000
ΔE_f, kJ/mol of atoms: -60.2
E_tot, eV per atom: -5.679

a = 4.193 Å, b = 7.999 Å, c = 7.999 Å
α = 90.00°, β = 90.00°, γ = 90.00°
Sites, in units of the cell vectors:
1 Au 0.000 0.873 0.627
2 Au 0.000 0.627 0.127
3 Au 0.000 0.127 0.373
4 Au 0.000 0.373 0.873
5 Th 0.500 0.330 0.170
6 Th 0.500 0.170 0.670
7 Th 0.500 0.670 0.830
8 Th 0.500 0.830 0.330
9 Bi 0.000 0.000 0.000
10 Bi 0.000 0.500 0.500